Version A
Entry from the Alexandria database: a relaxed HfTeBr crystal (PBE).

Lattice parameters (Å, degrees): 3.7988 6.7467 8.1401 68.62 76.73 89.99
Last column: nearest neighbours and their distance in Å.
Space group P-1 (No. 2)
Asymmetric unit:
Hf  0.2457  0.2909  0.0086 [2 per cell]  3 Br 2.81-2.88, 3 Te 2.83-2.84
Te  0.3837  0.7040  0.7281 [2 per cell]  3 Hf 2.83-2.84
Br  0.1542  0.8332  0.1945 [2 per cell]  3 Hf 2.81-2.88

Calculated values
spin magnetization = 0.00 μB/cell
calculated density = 6.81 Mg/m³



Version B
Entry from the Alexandria database: a relaxed HfTeBr crystal (PBE).

Lattice parameters (Å, degrees): 4.1983 7.8702 7.8801 79.49 89.95 89.96
Last column: nearest neighbours and their distance in Å.
Space group P-1 (No. 2)
Asymmetric unit:
Hf  0.9996  0.1182  0.1194 [2 per cell]  2 Br 2.65, 2 Te 2.73, 1 Hf 2.88
Te  0.4991  0.2616  0.2640 [2 per cell]  2 Hf 2.73
Br  0.0001  0.2214  0.7805 [2 per cell]  2 Hf 2.65

Calculated values
spin magnetization = 0.00 μB/cell
calculated density = 5.01 Mg/m³



Version C
Entry from the Alexandria database: a relaxed HfTeBr crystal (PBE).

Lattice parameters (Å, degrees): 6.5627 3.7896 14.6719 90.00 98.60 90.00
Last column: nearest neighbours and their distance in Å.
Space group C2/m (No. 12)
Asymmetric unit:
Hf  0.0831  0.0000  0.2462 [4 per cell]  3 Br 2.81, 3 Te 2.83
Te  0.1252  0.5000  0.8780 [4 per cell]  3 Hf 2.83
Br  0.2096  0.0000  0.6327 [4 per cell]  3 Hf 2.81

Calculated values
spin magnetization = 0.00 μB/cell
calculated density = 7.11 Mg/m³



Stability comparison, relative energies in meV per atom: version A 0; version B 316; version C 54



Version A
Entry from the Alexandria database: a relaxed HfTeBr2 crystal (PBE).

Lattice parameters (Å, degrees): 7.2147 7.2147 7.2147 90.00 90.00 90.00
Last column: nearest neighbours and their distance in Å.
Space group Fm-3m (No. 225)
Asymmetric unit:
Hf  0.0000  0.0000  0.0000 [4 per cell]  8 Br 3.12
Te  0.0000  0.0000  0.5000 [4 per cell]  8 Br 3.12
Br  0.2500  0.2500  0.2500 [8 per cell]  4 Hf 3.12, 4 Te 3.12

Calculated values
spin magnetization = 0.00 μB/cell
calculated density = 8.24 Mg/m³



Version B
Entry from the Alexandria database: a relaxed HfTeBr2 crystal (PBE).

Lattice parameters (Å, degrees): 3.3687 3.3687 36.0260 90.00 90.00 120.00
Last column: nearest neighbours and their distance in Å.
Space group R-3m (No. 166, hexagonal axes)
Asymmetric unit:
Hf  0.0000  0.0000  0.0000 [3 per cell]  6 Br 2.74
Te  0.0000  0.0000  0.5000 [3 per cell]  6 Te 3.37
Br  0.0000  0.0000  0.3869 [6 per cell]  3 Hf 2.74

Calculated values
spin magnetization = 0.00 μB/cell
calculated density = 6.56 Mg/m³



Stability comparison, relative energies in meV per atom: version A 699; version B 0